Entry 1:
14
Lattice="4.785 -3.734 0.000 4.785 3.734 0.000 -2.703 0.000 7.034" Properties=species:S:1:pos:R:3 comment="RbMnF5 | Alexandria | GGA+U | relaxed" magmom_total_mub_per_atom=0.45 pbc="T T T"
Rb 2.758 3.502 5.275
Rb 4.109 -3.502 1.758
Mn 4.785 0.000 0.000
Mn 3.433 0.000 3.517
F 4.166 1.713 0.105
F 1.863 0.546 2.798
F 4.052 1.713 3.412
F 0.512 -0.546 6.315
F 2.758 0.453 5.275
F 4.109 -0.453 1.758
F 6.355 0.546 0.719
F 2.815 -1.713 3.622
F 5.003 -0.546 4.235
F 2.700 -1.713 6.929

=====

Entry 2:
12
Lattice="2.131 -7.615 0.000 2.131 7.615 0.000 0.000 0.000 6.053" Properties=species:S:1:pos:R:3 comment="RbMnF4 | Alexandria | GGA+U | relaxed" magmom_total_mub_per_atom=0.67 pbc="T T T"
Rb 2.131 5.354 4.539
Rb 2.131 -5.354 1.513
Mn 2.131 1.295 4.539
Mn 2.131 -1.295 1.513
F 2.131 6.520 1.513
F 2.131 2.634 3.253
F 2.131 2.634 5.826
F 2.131 0.000 0.000
F 2.131 0.000 3.026
F 2.131 -2.634 0.226
F 2.131 -2.634 2.800
F 2.131 -6.520 4.539

=====

Entry 3:
11
Lattice="4.081 0.000 0.000 0.538 6.811 0.000 0.577 1.736 6.617" Properties=species:S:1:pos:R:3 comment="RbMn2F8 | Alexandria | GGA+U | relaxed" dos_at_fermi_per_ev_cell=1.76 magmom_total_mub_per_atom=0.64 pbc="T T T"
Rb 0.000 0.000 0.000
Mn 1.578 3.279 2.540
Mn 3.618 5.268 4.077
F 1.578 4.939 3.823
F 1.574 2.249 4.020
F 1.574 4.451 1.170
F 1.580 1.859 1.442
F 3.617 6.688 5.175
F 3.622 4.096 5.447
F 3.623 6.298 2.597
F 3.618 3.607 2.793

=====

Entry 4:
8
Lattice="-3.216 3.216 5.201 3.216 -3.216 5.201 3.216 3.216 -5.201" Properties=species:S:1:pos:R:3 comment="Rb3MnF4 | Alexandria | GGA+U | relaxed" dos_at_fermi_per_ev_cell=1.05 magmom_total_mub_per_atom=0.64 pbc="T T T"
Rb 0.000 0.000 0.000
Rb 3.216 0.000 2.601
Rb 0.000 3.216 2.601
Mn 0.000 0.000 5.201
F 1.308 -1.308 4.250
F 1.908 1.908 0.951
F -1.308 1.308 4.250
F 1.308 1.308 6.152

=====

Entry 5:
10
Lattice="-2.999 2.999 4.531 2.999 -2.999 4.531 2.999 2.999 -4.531" Properties=species:S:1:pos:R:3 comment="Rb2MnRhF6 | Alexandria | GGA+U | relaxed" dos_at_fermi_per_ev_cell=0.00 magmom_total_mub_per_atom=0.60 pbc="T T T"
Rb 2.999 0.000 2.265
Rb 0.000 2.999 2.265
Mn 0.000 0.000 0.000
Rh 0.000 0.000 4.531
F 0.000 0.000 2.073
F 1.525 1.525 0.000
F 1.474 -1.474 4.531
F -1.474 1.474 4.531
F 1.474 1.474 4.531
F 0.000 0.000 6.988

=====

Entry 6:
10
Lattice="-3.266 3.266 4.421 3.266 -3.266 4.421 3.266 3.266 -4.421" Properties=species:S:1:pos:R:3 comment="Rb2MnSbF6 | Alexandria | GGA+U | relaxed" dos_at_fermi_per_ev_cell=2.75 magmom_total_mub_per_atom=0.60 pbc="T T T"
Rb 3.266 0.000 2.210
Rb 0.000 3.266 2.210
Mn 0.000 0.000 0.000
Sb 0.000 0.000 4.421
F 1.498 1.498 0.000
F 1.768 -1.768 4.421
F 0.000 0.000 2.200
F 0.000 0.000 6.642
F -1.768 1.768 4.421
F 1.768 1.768 4.421

=====

Entry 7:
10
Lattice="-3.075 3.075 4.385 3.075 -3.075 4.385 3.075 3.075 -4.385" Properties=species:S:1:pos:R:3 comment="Rb2ScMnF6 | Alexandria | GGA+U | relaxed" dos_at_fermi_per_ev_cell=1.98 magmom_total_mub_per_atom=0.59 pbc="T T T"
Rb 3.075 0.000 2.193
Rb 0.000 3.075 2.193
Sc 0.000 0.000 0.000
Mn 0.000 0.000 4.385
F 1.520 1.520 0.000
F 1.555 -1.555 4.385
F 0.000 0.000 2.205
F 0.000 0.000 6.565
F -1.555 1.555 4.385
F 1.555 1.555 4.385

=====

Entry 8:
18
Lattice="5.976 0.000 0.000 -2.988 5.176 0.000 0.000 0.000 10.749" Properties=species:S:1:pos:R:3 comment="RbMnSiF6 | Alexandria | GGA+U | relaxed" dos_at_fermi_per_ev_cell=3.12 magmom_total_mub_per_atom=0.67 pbc="T T T"
Rb 0.000 0.000 0.000
Rb 0.000 0.000 5.374
Mn 0.000 3.451 2.687
Mn 2.988 1.725 8.061
Si 0.000 3.451 8.061
Si 2.988 1.725 2.687
F -0.720 2.234 7.070
F -1.413 3.435 9.053
F 0.720 2.234 9.053
F -0.693 4.682 7.070
F 2.295 0.494 1.696
F 1.575 1.741 3.679
F 1.413 3.435 7.070
F 0.693 4.682 9.053
F 3.681 0.494 3.679
F 2.268 2.941 1.696
F 4.401 1.741 1.696
F 3.708 2.941 3.679

=====

Entry 9:
5
Lattice="4.339 0.000 0.000 0.000 4.339 0.000 0.000 0.000 6.028" Properties=species:S:1:pos:R:3 comment="RbMnSi2F | Alexandria | GGA+U | relaxed" dos_at_fermi_per_ev_cell=2.11 magmom_total_mub_per_atom=0.42 pbc="T T T"
Rb 0.000 0.000 0.000
Mn 2.169 2.169 3.014
Si 0.000 2.169 3.014
Si 2.169 0.000 3.014
F 2.169 2.169 0.000

=====

Entry 10:
9
Lattice="5.274 0.000 0.000 -0.009 5.770 0.000 -0.047 -2.885 5.105" Properties=species:S:1:pos:R:3 comment="RbMnSnF6 | Alexandria | GGA+U | relaxed" dos_at_fermi_per_ev_cell=0.00 magmom_total_mub_per_atom=0.22 pbc="T T T"
Rb 0.000 0.000 0.000
Mn 1.976 -0.005 3.205
Sn 2.571 2.867 1.910
F 0.876 1.510 2.506
F 0.884 4.288 2.491
F 1.089 -0.015 4.870
F 2.810 0.018 1.517
F 3.105 1.450 3.755
F 3.124 -1.496 3.717

=====

Entry 11:
12
Lattice="5.189 0.000 0.000 0.193 5.310 0.000 0.347 0.690 8.001" Properties=species:S:1:pos:R:3 comment="RbMnSn2F8 | Alexandria | GGA+U | relaxed" dos_at_fermi_per_ev_cell=0.05 magmom_total_mub_per_atom=0.33 pbc="T T T"
Rb 0.000 0.000 0.000
Mn 0.174 0.345 4.000
Sn 2.893 3.086 5.862
Sn 2.837 2.914 2.138
F 1.188 4.561 2.658
F 1.510 4.966 5.395
F 1.669 1.908 3.606
F 1.599 2.060 0.693
F 4.130 3.940 7.308
F 4.061 4.092 4.395
F 4.220 1.034 2.605
F 4.542 1.438 5.342

=====

Entry 12:
15
Lattice="6.273 0.000 0.000 -3.137 5.433 0.000 0.000 0.000 7.765" Properties=species:S:1:pos:R:3 comment="Rb3Mn2SnF9 | Alexandria | GGA+U | relaxed" dos_at_fermi_per_ev_cell=0.00 magmom_total_mub_per_atom=0.67 pbc="T T T"
Rb 0.000 0.000 0.000
Rb 0.000 3.622 5.242
Rb 3.137 1.811 2.523
Mn 0.000 3.622 1.194
Mn 3.137 1.811 6.572
Sn 0.000 0.000 3.883
F -1.568 2.716 0.000
F 0.000 1.898 2.458
F -1.493 4.484 2.458
F 1.644 0.949 5.308
F 3.137 0.000 0.000
F 1.568 2.716 0.000
F 1.493 4.484 2.458
F 4.630 0.949 5.308
F 3.137 3.535 5.308

=====

Entry 13:
12
Lattice="5.920 0.000 0.000 -2.960 5.127 0.000 0.000 0.000 8.425" Properties=species:S:1:pos:R:3 comment="RbSrMn2F8 | Alexandria | GGA+U | relaxed" dos_at_fermi_per_ev_cell=14.12 magmom_total_mub_per_atom=0.75 pbc="T T T"
Rb 0.000 0.000 0.000
Sr 0.000 0.000 4.213
Mn 0.000 3.418 6.660
Mn 2.960 1.709 1.765
F -0.398 1.694 5.881
F -1.294 4.624 5.881
F 1.268 1.191 2.544
F 0.000 3.418 0.150
F 2.960 1.709 8.275
F 1.692 3.935 5.881
F 4.254 0.502 2.544
F 3.358 3.433 2.544

=====

Entry 14:
10
Lattice="-3.204 3.204 4.542 3.204 -3.204 4.542 3.204 3.204 -4.542" Properties=species:S:1:pos:R:3 comment="Rb2SrMnF6 | Alexandria | GGA+U | relaxed" dos_at_fermi_per_ev_cell=0.00 magmom_total_mub_per_atom=0.50 pbc="T T T"
Rb 3.204 0.000 2.271
Rb 0.000 3.204 2.271
Sr 0.000 0.000 0.000
Mn 0.000 0.000 4.542
F 0.000 0.000 2.390
F 1.690 1.690 0.000
F 1.514 -1.514 4.542
F -1.514 1.514 4.542
F 1.514 1.514 4.542
F 0.000 0.000 6.695

=====

Entry 15:
10
Lattice="0.000 4.376 4.376 4.376 0.000 4.376 4.376 4.376 0.000" Properties=species:S:1:pos:R:3 comment="Rb2TaMnF6 | Alexandria | GGA+U | relaxed" dos_at_fermi_per_ev_cell=8.76 magmom_total_mub_per_atom=0.80 pbc="T T T"
Rb 2.188 2.188 2.188
Rb 6.564 6.564 6.564
Ta 0.000 0.000 0.000
Mn 4.376 4.376 4.376
F 4.376 4.376 2.222
F 4.376 2.222 4.376
F 6.530 4.376 4.376
F 2.222 4.376 4.376
F 4.376 6.530 4.376
F 4.376 4.376 6.530

=====

Entry 16:
10
Lattice="0.000 4.614 4.614 4.614 0.000 4.614 4.614 4.614 0.000" Properties=species:S:1:pos:R:3 comment="Rb2TbMnF6 | Alexandria | GGA+U | relaxed" dos_at_fermi_per_ev_cell=2.51 magmom_total_mub_per_atom=0.58 pbc="T T T"
Rb 2.307 2.307 2.307
Rb 6.921 6.921 6.921
Tb 0.000 0.000 0.000
Mn 4.614 4.614 4.614
F 4.614 4.614 2.212
F 4.614 2.212 4.614
F 7.016 4.614 4.614
F 2.212 4.614 4.614
F 4.614 7.016 4.614
F 4.614 4.614 7.016

=====

Entry 17:
12
Lattice="5.065 0.000 0.000 0.006 6.063 0.000 0.583 0.395 6.772" Properties=species:S:1:pos:R:3 comment="RbMn2TlF8 | Alexandria | GGA+U | relaxed" dos_at_fermi_per_ev_cell=0.00 magmom_total_mub_per_atom=0.67 pbc="T T T"
Rb 0.000 0.000 0.000
Mn 2.679 3.129 1.697
Mn 2.975 3.329 5.075
Tl 0.291 0.197 3.386
F 1.739 2.618 3.798
F 1.453 2.426 0.412
F 1.830 4.777 1.632
F 2.122 4.975 5.001
F 3.532 1.483 1.771
F 3.823 1.681 5.140
F 4.201 4.032 6.360
F 3.914 3.840 2.974

=====

Entry 18:
7
Lattice="-2.148 2.148 7.035 2.148 -2.148 7.035 2.148 2.148 -7.035" Properties=species:S:1:pos:R:3 comment="RbMnTlF4 | Alexandria | GGA+U | relaxed" dos_at_fermi_per_ev_cell=0.00 magmom_total_mub_per_atom=0.71 pbc="T T T"
Rb 0.000 0.000 0.000
Mn 0.000 0.000 9.133
Tl 0.000 0.000 4.179
F 2.148 0.000 2.092
F 0.000 0.000 6.986
F 0.000 2.148 2.092
F 0.000 0.000 11.273

=====

Entry 19:
20
Lattice="-4.460 4.460 4.460 4.460 -4.460 4.460 4.460 4.460 -4.460" Properties=species:S:1:pos:R:3 comment="RbMn3Tl4F12 | Alexandria | GGA+U | relaxed" dos_at_fermi_per_ev_cell=4.14 magmom_total_mub_per_atom=0.70 pbc="T T T"
Rb 0.000 0.000 0.000
Mn 4.460 0.000 0.000
Mn 0.000 4.460 0.000
Mn 0.000 0.000 4.460
Tl 2.230 2.230 -2.230
Tl 2.230 -2.230 2.230
Tl -2.230 2.230 2.230
Tl 2.230 2.230 2.230
F 2.535 0.000 0.000
F 6.386 0.000 0.000
F 4.460 2.230 0.000
F 4.460 0.000 2.230
F 0.000 2.535 0.000
F 0.000 0.000 2.535
F 2.230 4.460 0.000
F 2.230 0.000 4.460
F 0.000 6.386 0.000
F 0.000 0.000 6.386
F 0.000 4.460 2.230
F 0.000 2.230 4.460

=====

Entry 20:
15
Lattice="6.103 0.000 0.000 -3.051 5.285 0.000 0.000 0.000 8.666" Properties=species:S:1:pos:R:3 comment="RbMn2Tl3F9 | Alexandria | GGA+U | relaxed" dos_at_fermi_per_ev_cell=3.14 magmom_total_mub_per_atom=0.60 pbc="T T T"
Rb 0.000 0.000 0.000
Mn 0.000 3.523 5.563
Mn 3.051 1.762 3.103
Tl 0.000 0.000 4.333
Tl 0.000 3.523 1.923
Tl 3.051 1.762 6.742
F -1.526 2.643 4.333
F 0.000 1.856 6.647
F -1.444 4.357 6.647
F 1.607 0.928 2.018
F 3.051 0.000 4.333
F 1.526 2.643 4.333
F 1.444 4.357 6.647
F 4.495 0.928 2.018
F 3.051 3.429 2.018

=====

Entry 21:
14
Lattice="6.610 0.000 0.000 -3.305 5.724 0.000 0.000 0.000 8.306" Properties=species:S:1:pos:R:3 comment="Rb3Mn2TlF8 | Alexandria | GGA+U | relaxed" dos_at_fermi_per_ev_cell=0.00 magmom_total_mub_per_atom=0.71 pbc="T T T"
Rb 0.000 0.000 0.000
Rb 0.000 3.816 5.252
Rb 3.305 1.908 3.054
Mn 0.000 3.816 1.497
Mn 3.305 1.908 6.809
Tl 0.000 0.000 4.153
F 0.000 2.016 2.411
F -1.559 4.717 2.411
F 0.000 3.816 7.835
F 1.746 1.008 5.895
F 1.559 4.717 2.411
F 3.305 1.908 0.471
F 4.864 1.008 5.895
F 3.305 3.709 5.895

=====

Volume (computed, Å³ per cell): 251.4; 196.4; 183.9; 215.2; 163.0; 188.7; 165.9; 332.5; 113.5; 155.3; 220.5; 264.7; 255.7; 186.5; 167.6; 196.5; 208.0; 129.8; 354.9; 279.5; 314.3
Uncorrected energy (computed, eV/atom): -4.937; -5.264; -5.127; -4.521; -5.075; -4.830; -5.610; -5.462; -4.263; -4.993; -5.054; -5.237; -5.465; -5.316; -5.604; -5.479; -5.182; -5.076; -5.033; -4.924; -5.012